1.
Entry from the Alexandria database: a relaxed structure of Rb2RhO4 (PBE).

Calculated values
V = 296.65 Å³/cell
Offset from the most stable computed form = 0.0 kJ per mole of atoms
Formation energy from raw total energies = -0.96 eV per atom
Space-group type = C2/m

Lattice parameters (Å, degrees): 7.2772 7.2772 8.0132 113.43 113.43 51.15
Positions (direct):
Rb 0.0201 0.0201 0.2439
Rb 0.3427 0.3427 0.2450
Rb 0.6573 0.6573 0.7550
Rb 0.9799 0.9799 0.7561
Rh 0.3232 0.3232 0.7745
Rh 0.6768 0.6768 0.2255
O 0.1215 0.5945 0.9214
O 0.1694 0.1694 0.6383
O 0.4060 0.4060 0.6434
O 0.4055 0.8785 0.0786
O 0.5945 0.1215 0.9214
O 0.5940 0.5940 0.3566
O 0.8306 0.8306 0.3617
O 0.8785 0.4055 0.0786

2.
Entry from the Alexandria database: a relaxed structure of Hf3VAg (PBE).

Calculated values
Formation enthalpy at 0 K = 0.776 eV/atom
V = 113.90 Å³/cell
Offset from the most stable computed form = 0.0 kJ per mole of atoms
Space-group type = Pm-3m

Lattice parameters (Å, degrees): 4.8474 4.8474 4.8474 90.00 90.00 90.00
Positions (direct):
Hf 0.0000 0.0000 0.5000
Hf 0.0000 0.5000 0.0000
Hf 0.5000 0.0000 0.0000
V 0.0000 0.0000 0.0000
Ag 0.5000 0.5000 0.5000

3.
Entry from the Alexandria database: a relaxed structure of RbBaPt2 (PBE).

Calculated values
Formation enthalpy at 0 K = 0.012 eV/atom
V = 465.05 Å³/cell
Offset from the most stable computed form = 0.5 kJ per mole of atoms
Space-group type = I-42d

Lattice parameters (Å, degrees): 8.6735 8.6735 6.1817 90.00 90.00 90.00
Positions (direct):
Rb 0.0000 0.0000 0.0000
Rb 0.0000 0.5000 0.2500
Rb 0.5000 0.0000 0.7500
Rb 0.5000 0.5000 0.5000
Ba 0.0000 0.0000 0.5000
Ba 0.0000 0.5000 0.7500
Ba 0.5000 0.0000 0.2500
Ba 0.5000 0.5000 0.0000
Pt 0.2416 0.2500 0.6250
Pt 0.2500 0.7416 0.8750
Pt 0.2500 0.7584 0.3750
Pt 0.2584 0.2500 0.1250
Pt 0.7416 0.7500 0.1250
Pt 0.7500 0.2416 0.3750
Pt 0.7500 0.2584 0.8750
Pt 0.7584 0.7500 0.6250

4.
Entry from the Alexandria database: a relaxed structure of BaLaAsH2 (PBE).

Calculated values
V = 133.63 Å³/cell
Total energy = -4.35 eV per atom
Space-group type = P4/mmm

Lattice parameters (Å, degrees): 4.7405 4.7405 5.9463 90.00 90.00 90.00
Positions (direct):
Ba 0.0000 0.0000 0.0000
La 0.5000 0.5000 0.5000
As 0.5000 0.5000 0.0000
H 0.0000 0.5000 0.5000
H 0.5000 0.0000 0.5000

5.
Entry from the Alexandria database: a relaxed structure of TlAsI2Cl (PBE).

Calculated values
V = 175.43 Å³/cell
Formation energy from raw total energies = -0.36 eV per atom
Space-group type = P4/mmm

Lattice parameters (Å, degrees): 5.8214 5.8214 5.1765 90.00 90.00 90.00
Positions (direct):
Tl 0.0000 0.0000 0.0000
As 0.5000 0.5000 0.5000
I 0.0000 0.5000 0.5000
I 0.5000 0.0000 0.5000
Cl 0.5000 0.5000 0.0000

6.
Entry from the Alexandria database: a relaxed structure of LiScAg3 (PBE).

Calculated values
Formation enthalpy at 0 K = 0.135 eV/atom
V = 94.27 Å³/cell
Offset from the most stable computed form = 22.0 kJ per mole of atoms
Space-group type = Pm-3m

Lattice parameters (Å, degrees): 4.5512 4.5512 4.5512 90.00 90.00 90.00
Positions (direct):
Li 0.0000 0.0000 0.0000
Sc 0.5000 0.5000 0.5000
Ag 0.0000 0.0000 0.5000
Ag 0.0000 0.5000 0.0000
Ag 0.5000 0.0000 0.0000

7.
Entry from the Alexandria database: a relaxed structure of PrErNi10 (PBE).

Calculated values
Formation enthalpy at 0 K = -0.297 eV/atom
V = 166.09 Å³/cell
Space-group type = Pmmm

Lattice parameters (Å, degrees): 3.9617 4.9203 8.5205 90.00 90.00 90.00
Positions (direct):
Pr 0.0000 0.0000 0.0000
Er 0.0000 0.5000 0.5000
Ni 0.0000 0.0000 0.3388
Ni 0.0000 0.0000 0.6612
Ni 0.0000 0.5000 0.1730
Ni 0.0000 0.5000 0.8270
Ni 0.5000 0.0000 0.5000
Ni 0.5000 0.2529 0.2554
Ni 0.5000 0.2529 0.7446
Ni 0.5000 0.5000 0.0000
Ni 0.5000 0.7471 0.2554
Ni 0.5000 0.7471 0.7446

8.
Entry from the Alexandria database: a relaxed structure of ErLuAg2 (PBE).

Calculated values
Formation enthalpy at 0 K = -0.337 eV/atom
V = 91.99 Å³/cell
Offset from the most stable computed form = 0.0 kJ per mole of atoms
Space-group type = P4/mmm

Lattice parameters (Å, degrees): 5.0964 5.0964 3.5415 90.00 90.00 90.00
Positions (direct):
Er 0.0000 0.0000 0.0000
Lu 0.5000 0.5000 0.0000
Ag 0.0000 0.5000 0.5000
Ag 0.5000 0.0000 0.5000